Model a:
The following is a DFT calculation (PBE-GGA) of a relaxed structure of ZrPaMn.

Properties
Total moment: 0.0 μB/f.u.

Geometry as extended XYZ:
```
6
Lattice="3.455 0.000 0.000 1.718 5.856 0.000 1.723 2.503 5.831" Properties=species:S:1:pos:R:3 pbc="T T T"
Zr 1.723 2.520 2.590
Zr 5.174 5.839 3.241
Pa 3.446 6.888 5.768
Pa 3.451 1.470 0.063
Mn 3.450 3.697 4.283
Mn 3.446 4.661 1.548
```

Model b:
The following is a DFT calculation (PBE-GGA) of a relaxed structure of ZrPaMn.

Properties
Total moment: 0.0 μB/f.u.

Geometry as extended XYZ:
```
6
Lattice="4.685 0.000 0.000 0.000 4.685 0.000 0.000 0.000 5.792" Properties=species:S:1:pos:R:3 pbc="T T T"
Zr 1.171 1.171 0.656
Zr 3.514 3.514 5.136
Pa 1.171 3.514 2.896
Pa 3.514 1.171 2.896
Mn 1.171 1.171 3.854
Mn 3.514 3.514 1.938
```

Need the numbers? Relative energies in eV/atom: model a 0.000; model b 0.189.

Model a:
The following is a DFT calculation (PBE-GGA) of a relaxed structure of Zr2PaMn.

Properties
Total moment: 0.0 μB/f.u.

Geometry as extended XYZ:
```
4
Lattice="3.195 0.000 0.000 0.000 3.195 0.000 0.000 0.000 7.996" Properties=species:S:1:pos:R:3 pbc="T T T"
Zr 0.000 0.000 1.558
Zr 0.000 0.000 6.438
Pa 1.597 1.597 3.998
Mn 1.597 1.597 0.000
```

Model b:
The following is a DFT calculation (PBE-GGA) of a relaxed structure of Zr2PaMn.

Properties
Total moment: 0.0 μB/f.u.

Geometry as extended XYZ:
```
16
Lattice="6.582 0.000 0.000 0.000 9.035 0.000 0.000 0.000 5.725" Properties=species:S:1:pos:R:3 pbc="T T T"
Zr 1.122 0.544 0.963
Zr 1.122 3.974 0.963
Zr 2.169 5.061 3.826
Zr 2.169 8.491 3.826
Zr 4.414 0.544 1.899
Zr 4.414 3.974 1.899
Zr 5.460 5.061 4.762
Zr 5.460 8.491 4.762
Pa 0.350 2.259 3.784
Pa 2.942 6.776 0.921
Pa 3.641 2.259 4.804
Pa 6.233 6.776 1.942
Mn 0.904 6.776 5.579
Mn 2.388 2.259 2.717
Mn 4.195 6.776 3.009
Mn 5.679 2.259 0.146
```

Model c:
The following is a DFT calculation (PBE-GGA) of a relaxed structure of Zr2PaMn.

Properties
Total moment: 0.0 μB/f.u.

Geometry as extended XYZ:
```
4
Lattice="1.561 0.901 9.903 -1.561 0.901 9.903 0.000 -1.802 9.903" Properties=species:S:1:pos:R:3 pbc="T T T"
Zr 0.000 0.000 3.037
Zr 0.000 0.000 26.673
Pa 0.000 0.000 0.000
Mn 0.000 0.000 14.855
```

Need the numbers? Relative energies in eV/atom: model a 0.150; model b 0.000; model c 0.426.

Model a:
The following is a DFT calculation (PBE-GGA) of a relaxed structure of Mn4Pb5.

Properties
Total moment: 15.1 μB/f.u.

Geometry as extended XYZ:
```
18
Lattice="8.893 0.000 0.000 -4.447 7.702 0.000 0.000 0.000 6.038" Properties=species:S:1:pos:R:3 pbc="T T T"
Mn 0.000 0.000 0.000
Mn 0.000 0.000 3.019
Mn -1.759 3.047 1.509
Mn -2.688 4.655 4.528
Mn 3.518 0.000 1.509
Mn 1.759 3.047 4.528
Mn 5.375 0.000 4.528
Mn 2.688 4.655 1.509
Pb -1.221 2.115 4.528
Pb -3.226 5.587 1.509
Pb 2.442 0.000 4.528
Pb 1.221 2.115 1.509
Pb 0.000 5.135 0.000
Pb 0.000 5.135 3.019
Pb 4.447 2.567 0.000
Pb 4.447 2.567 3.019
Pb 6.451 0.000 1.509
Pb 3.226 5.587 4.528
```

Model b:
The following is a DFT calculation (PBE-GGA) of a relaxed structure of Mn4Pb5.

Properties
Total moment: 15.9 μB/f.u.

Geometry as extended XYZ:
```
9
Lattice="-4.974 4.974 2.191 4.974 -4.974 2.191 4.974 4.974 -2.191" Properties=species:S:1:pos:R:3 pbc="T T T"
Mn 3.619 0.000 0.000
Mn 6.328 0.000 0.000
Mn 0.000 3.619 0.000
Mn 0.000 6.328 0.000
Pb 0.000 0.000 0.000
Pb 3.250 3.250 0.000
Pb 1.724 -1.724 2.191
Pb -1.724 1.724 2.191
Pb 1.724 1.724 2.191
```

Need the numbers? Relative energies in eV/atom: model a 0.000; model b 0.018.

Model a:
The following is a DFT calculation (PBE-GGA) of a relaxed structure of MnPdPb2.

Properties
Total moment: 3.7 μB/f.u.

Geometry as extended XYZ:
```
8
Lattice="-2.250 2.250 9.389 2.250 -2.250 9.389 2.250 2.250 -9.389" Properties=species:S:1:pos:R:3 pbc="T T T"
Mn 0.000 0.000 0.000
Mn 0.000 2.250 4.694
Pd 2.250 0.000 4.694
Pd 0.000 0.000 9.389
Pb 1.125 -1.111 7.042
Pb 1.139 1.125 2.347
Pb 1.125 3.361 -2.347
Pb 1.111 1.125 11.736
```

Model b:
The following is a DFT calculation (PBE-GGA) of a relaxed structure of MnPdPb2.

Properties
Total moment: 0.0 μB/f.u.

Geometry as extended XYZ:
```
4
Lattice="0.000 3.390 3.390 3.390 0.000 3.390 3.390 3.390 0.000" Properties=species:S:1:pos:R:3 pbc="T T T"
Mn 0.000 0.000 0.000
Pd 3.390 3.390 3.390
Pb 1.695 1.695 1.695
Pb 5.084 5.084 5.084
```

Need the numbers? Relative energies in eV/atom: model a 0.000; model b 0.213.

Model a:
The following is a DFT calculation (PBE-GGA) of a relaxed structure of MnPd5Pb.

Properties
Total moment: 4.2 μB/f.u.

Geometry as extended XYZ:
```
7
Lattice="3.950 0.000 0.000 0.000 3.950 0.000 0.000 0.000 7.863" Properties=species:S:1:pos:R:3 pbc="T T T"
Mn 0.000 0.000 0.000
Pd 0.000 1.975 1.944
Pd 0.000 1.975 5.919
Pd 1.975 0.000 1.944
Pd 1.975 0.000 5.919
Pd 1.975 1.975 0.000
Pb 1.975 1.975 3.932
```

Model b:
The following is a DFT calculation (PBE-GGA) of a relaxed structure of MnPd5Pb.

Properties
Total moment: 4.9 μB/f.u.

Geometry as extended XYZ:
```
7
Lattice="-2.621 3.494 3.687 2.621 -3.494 3.687 2.621 3.494 -3.687" Properties=species:S:1:pos:R:3 pbc="T T T"
Mn 0.000 0.000 0.000
Pd 1.347 3.494 -1.292
Pd 1.273 0.000 2.395
Pd 2.621 2.190 1.367
Pd 0.000 1.304 5.054
Pd 0.000 3.494 3.630
Pb 0.000 3.494 1.047
```

Need the numbers? Relative energies in eV/atom: model a 0.000; model b 0.358.

Model a:
The following is a DFT calculation (PBE-GGA) of a relaxed structure of MnPtPb2.

Properties
Total moment: 3.9 μB/f.u.

Geometry as extended XYZ:
```
4
Lattice="3.369 0.000 0.000 0.000 3.369 0.000 0.000 0.000 8.079" Properties=species:S:1:pos:R:3 pbc="T T T"
Mn 0.000 0.000 0.000
Pt 1.684 1.684 6.886
Pb 0.000 0.000 4.963
Pb 1.684 1.684 1.930
```

Model b:
The following is a DFT calculation (PBE-GGA) of a relaxed structure of MnPtPb2.

Properties
Total moment: 3.7 μB/f.u.

Geometry as extended XYZ:
```
4
Lattice="3.845 0.000 0.000 0.000 4.245 0.000 -1.916 0.000 5.394" Properties=species:S:1:pos:R:3 pbc="T T T"
Mn 0.000 0.000 0.000
Pt 1.923 2.122 3.832
Pb -0.002 0.000 2.965
Pb 1.926 2.122 0.777
```

Need the numbers? Relative energies in eV/atom: model a 0.000; model b 0.087.

Model a:
The following is a DFT calculation (PBE-GGA) of a relaxed structure of MnPtPb2.

Properties
Total moment: 3.9 μB/f.u.

Geometry as extended XYZ:
```
4
Lattice="4.266 -1.805 0.000 4.266 1.805 0.000 -1.379 0.000 6.210" Properties=species:S:1:pos:R:3 pbc="T T T"
Mn 0.000 0.000 0.000
Pt 1.193 0.000 5.411
Pb 3.723 0.000 3.886
Pb 6.105 0.000 1.483
```

Model b:
The following is a DFT calculation (PBE-GGA) of a relaxed structure of MnPtPb2.

Properties
Total moment: 0.0 μB/f.u.

Geometry as extended XYZ:
```
4
Lattice="0.000 3.400 3.400 3.400 0.000 3.400 3.400 3.400 0.000" Properties=species:S:1:pos:R:3 pbc="T T T"
Mn 0.000 0.000 0.000
Pt 3.400 3.400 3.400
Pb 1.700 1.700 1.700
Pb 5.101 5.101 5.101
```

Model c:
The following is a DFT calculation (PBE-GGA) of a relaxed structure of MnPtPb2.

Properties
Total moment: 4.1 μB/f.u.

Geometry as extended XYZ:
```
4
Lattice="3.421 0.000 0.000 0.000 3.421 0.000 0.000 0.000 7.375" Properties=species:S:1:pos:R:3 pbc="T T T"
Mn 0.000 0.000 0.000
Pt 0.000 0.000 3.688
Pb 1.710 1.710 1.919
Pb 1.710 1.710 5.457
```

Need the numbers? Relative energies in eV/atom: model a 0.000; model b 0.535; model c 0.174.

Model a:
The following is a DFT calculation (PBE-GGA) of a relaxed structure of MnPtPb2.

Properties
Total moment: 4.1 μB/f.u.

Geometry as extended XYZ:
```
4
Lattice="-1.719 2.428 5.404 1.719 -2.428 5.404 1.719 2.428 -5.404" Properties=species:S:1:pos:R:3 pbc="T T T"
Mn 0.000 0.000 0.000
Pt 0.000 2.428 3.480
Pb 1.719 0.000 3.026
Pb 0.000 0.000 6.123
```

Model b:
The following is a DFT calculation (PBE-GGA) of a relaxed structure of MnPtPb2.

Properties
Total moment: 4.4 μB/f.u.

Geometry as extended XYZ:
```
4
Lattice="1.939 1.119 7.389 -1.939 1.119 7.389 0.000 -2.239 7.389" Properties=species:S:1:pos:R:3 pbc="T T T"
Mn 0.000 0.000 0.000
Pt 0.000 0.000 11.084
Pb 0.000 0.000 5.390
Pb 0.000 0.000 16.777
```

Model c:
The following is a DFT calculation (PBE-GGA) of a relaxed structure of MnPtPb2.

Properties
Total moment: 4.4 μB/f.u.

Geometry as extended XYZ:
```
4
Lattice="0.000 3.536 3.536 3.536 0.000 3.536 3.536 3.536 0.000" Properties=species:S:1:pos:R:3 pbc="T T T"
Mn 0.000 0.000 0.000
Pt 1.768 1.768 1.768
Pb 3.536 3.536 3.536
Pb 5.304 5.304 5.304
```

Need the numbers? Relative energies in eV/atom: model a 0.000; model b 0.169; model c 0.200.

Model a:
The following is a DFT calculation (PBE-GGA) of a relaxed structure of MnPtPb2.

Properties
Total moment: 4.1 μB/f.u.

Geometry as extended XYZ:
```
4
Lattice="3.850 0.000 0.000 0.000 4.684 0.000 0.000 0.000 4.782" Properties=species:S:1:pos:R:3 pbc="T T T"
Mn 0.000 0.000 0.000
Pt 0.000 2.342 2.391
Pb 1.925 0.000 2.391
Pb 1.925 2.342 0.000
```

Model b:
The following is a DFT calculation (PBE-GGA) of a relaxed structure of MnPtPb2.

Properties
Total moment: 4.2 μB/f.u.

Geometry as extended XYZ:
```
8
Lattice="-3.942 3.942 3.061 3.942 -3.942 3.061 3.942 3.942 -3.061" Properties=species:S:1:pos:R:3 pbc="T T T"
Mn 0.000 0.000 0.000
Mn 0.000 3.942 1.530
Pt 3.942 0.000 1.530
Pt 0.000 0.000 3.061
Pb 1.971 -1.812 2.295
Pb 2.130 1.971 0.765
Pb 1.971 5.755 -0.765
Pb 1.812 1.971 3.826
```

Need the numbers? Relative energies in eV/atom: model a 0.000; model b 0.107.

Model a:
The following is a DFT calculation (PBE-GGA) of a relaxed structure of RbMn3Pb.

Properties
Total moment: 12.1 μB/f.u.

Geometry as extended XYZ:
```
5
Lattice="5.377 0.000 0.000 0.000 5.377 0.000 0.000 0.000 5.377" Properties=species:S:1:pos:R:3 pbc="T T T"
Rb 0.000 0.000 0.000
Mn 0.000 2.688 2.688
Mn 2.688 0.000 2.688
Mn 2.688 2.688 0.000
Pb 2.688 2.688 2.688
```

Model b:
The following is a DFT calculation (PBE-GGA) of a relaxed structure of RbMn3Pb.

Properties
Total moment: 12.5 μB/f.u.

Geometry as extended XYZ:
```
5
Lattice="5.285 0.000 0.000 0.000 5.285 0.000 0.000 0.000 5.285" Properties=species:S:1:pos:R:3 pbc="T T T"
Rb 0.000 0.000 0.000
Mn 0.000 0.000 2.643
Mn 0.000 2.643 0.000
Mn 2.643 0.000 0.000
Pb 2.643 2.643 2.643
```

Need the numbers? Relative energies in eV/atom: model a 0.000; model b 0.972.

Model a:
The following is a DFT calculation (PBE-GGA) of a relaxed structure of MnRuPb2.

Properties
Total moment: 4.1 μB/f.u.

Geometry as extended XYZ:
```
4
Lattice="4.461 -1.699 0.000 4.461 1.699 0.000 -1.039 0.000 5.441" Properties=species:S:1:pos:R:3 pbc="T T T"
Mn 0.000 0.000 0.000
Ru 3.942 0.000 2.720
Pb 1.389 0.000 4.020
Pb 6.495 0.000 1.421
```

Model b:
The following is a DFT calculation (PBE-GGA) of a relaxed structure of MnRuPb2.

Properties
Total moment: 3.6 μB/f.u.

Geometry as extended XYZ:
```
4
Lattice="4.686 0.000 0.000 0.000 3.321 0.000 -2.133 0.000 5.217" Properties=species:S:1:pos:R:3 pbc="T T T"
Mn 0.000 0.000 0.000
Ru -1.066 1.661 2.608
Pb 1.277 0.000 2.608
Pb 2.343 1.661 0.000
```

Need the numbers? Relative energies in eV/atom: model a 0.000; model b 0.028.

Model a:
The following is a DFT calculation (PBE-GGA) of a relaxed structure of MnRuPb2.

Properties
Total moment: 4.0 μB/f.u.

Geometry as extended XYZ:
```
4
Lattice="-1.571 2.290 6.091 1.571 -2.290 6.091 1.571 2.290 -6.091" Properties=species:S:1:pos:R:3 pbc="T T T"
Mn 0.000 0.000 0.000
Ru 0.000 2.290 4.010
Pb 1.571 0.000 3.918
Pb 0.000 0.000 7.361
```

Model b:
The following is a DFT calculation (PBE-GGA) of a relaxed structure of MnRuPb2.

Properties
Total moment: 3.1 μB/f.u.

Geometry as extended XYZ:
```
4
Lattice="3.226 0.000 0.000 0.000 3.226 0.000 0.000 0.000 8.402" Properties=species:S:1:pos:R:3 pbc="T T T"
Mn 0.000 0.000 0.000
Ru 1.613 1.613 7.231
Pb 0.000 0.000 5.226
Pb 1.613 1.613 1.954
```

Need the numbers? Relative energies in eV/atom: model a 0.164; model b 0.000.